DFT (GGA-PBE) results for TaBePdN2 after structural relaxation.

crystal system = tetragonal
total energy = -6.73 eV per atom
space-group type = No. 123

The structure in POSCAR format:
```
TaBePdN2
1.0
-1.794 -0.556 -3.439
-4.372 -1.861 2.581
-1.449 3.637 0.168
Be N Pd Ta
1 2 1 1
direct
0.500 0.500 0.500
0.000 0.000 0.500
0.500 0.000 0.000
0.000 0.500 0.000
0.000 0.000 0.000
```

---

DFT (GGA-PBE) results for BeTc2PdN after structural relaxation.

crystal system = tetragonal
total energy = -5.49 eV per atom
space-group type = No. 123

The structure in POSCAR format:
```
BeTc2PdN
1.0
5.067 0.000 0.000
0.000 3.584 0.000
0.000 0.000 5.067
Be Tc Pd N
1 2 1 1
direct
0.500 0.500 0.500
0.000 0.000 0.500
0.500 0.000 0.000
0.000 0.000 0.000
0.000 0.500 0.000
```

---

DFT (GGA-PBE) results for BeTePdN2 after structural relaxation.

excess energy over the best structure of this formula in the dataset = 297 meV per atom
crystal system = tetragonal
space-group type = No. 123

The structure in POSCAR format:
```
BeTePdN2
1.0
-1.186 3.730 0.006
-2.089 -0.658 -3.244
-4.622 -1.475 3.275
Be Te Pd N
1 1 1 2
direct
0.500 0.500 0.500
0.000 0.000 0.500
0.000 0.000 0.000
0.000 0.500 0.000
0.500 0.000 0.000
```

---

DFT (GGA-PBE) results for BeTe2PdN after structural relaxation.

excess energy over the best structure of this formula in the dataset = 0 meV per atom
crystal system = tetragonal
space-group type = No. 123

The structure in POSCAR format:
```
BeTe2PdN
1.0
5.353 0.000 0.000
0.000 5.353 0.000
0.000 0.000 3.057
Be Te Pd N
1 2 1 1
direct
0.000 0.000 0.000
0.000 0.500 0.000
0.500 0.000 0.000
0.500 0.500 0.500
0.000 0.000 0.500
```

---

no.,calculated volume (Å³ per cell),magnetic moment (μB/cell)
1,83.0,0.000
2,92.0,5.841
3,89.7,3.208
4,87.6,0.000